Here is a geometry-optimized Pm4SbTe2Au structure from Alexandria via LeMat-Bulk. Energies are from GGA-PBE.

Output
M_tot: 0.000 Bohr magnetons per cell
E_tot: -5.28 eV per atom
Uncorrected formation energy: -1.193 eV/atom
Calculated density: 7.7 g/cm³

a b c (Å): 7.692 4.374 7.772
angles (deg): 90.00 108.82 90.00
Positions (direct):
1 Pm 0.239 0.000 0.236
2 Pm 0.251 0.500 0.758
3 Pm 0.749 0.500 0.242
4 Pm 0.761 0.000 0.764
5 Sb 0.500 0.000 0.000
6 Te 0.000 0.000 0.500
7 Te 0.500 0.500 0.500
8 Au 0.000 0.500 0.000